# K3YSc, relaxed, DFT PBE
data_K3YSc
_chemical_formula_sum 'K3 Y1 Sc1'
_symmetry_space_group_name_H-M 'P m -3 m'
_symmetry_Int_Tables_number 221
_symmetry_space_group_name_Hall '-P 4 2 3'
_cell_length_a 6.8365
_cell_length_b 6.8365
_cell_length_c 6.8365
_cell_angle_alpha 90.00
_cell_angle_beta 90.00
_cell_angle_gamma 90.00
loop_
_atom_site_label
_atom_site_type_symbol
_atom_site_fract_x
_atom_site_fract_y
_atom_site_fract_z
K1 K 0.0000 0.0000 0.5000
Y1 Y 0.0000 0.0000 0.0000
Sc1 Sc 0.5000 0.5000 0.5000
# Magnetic moment   4.923 μB/cell
# Volume   63.90 Å³/atom
# Energy of formation   6.629 eV per formula unit
# E above lowest polymorph   126 meV per atom
# Total DFT energy (no corrections)   -1.89 eV per atom

# Y2MnGe, relaxed, DFT PBE
data_Y2MnGe
_chemical_formula_sum 'Y8 Mn4 Ge4'
_symmetry_space_group_name_H-M 'I -4 2 d'
_symmetry_Int_Tables_number 122
_symmetry_space_group_name_Hall 'I -4 2bw'
_cell_length_a 7.8252
_cell_length_b 7.8252
_cell_length_c 6.4972
_cell_angle_alpha 90.00
_cell_angle_beta 90.00
_cell_angle_gamma 90.00
loop_
_atom_site_label
_atom_site_type_symbol
_atom_site_fract_x
_atom_site_fract_y
_atom_site_fract_z
Y1 Y 0.2427 0.2500 0.1250
Mn1 Mn 0.0000 0.0000 0.5000
Ge1 Ge 0.0000 0.0000 0.0000
# Magnetic moment   13.780 μB/cell
# Volume   24.87 Å³/atom
# Energy of formation   0.534 eV per formula unit
# Total DFT energy (no corrections)   -6.55 eV per atom

# LiVAs2, relaxed, DFT PBE
data_LiVAs2
_chemical_formula_sum 'Li4 V4 As8'
_symmetry_space_group_name_H-M 'F m -3 m'
_symmetry_Int_Tables_number 225
_symmetry_space_group_name_Hall '-F 4 2 3'
_cell_length_a 6.3367
_cell_length_b 6.3367
_cell_length_c 6.3367
_cell_angle_alpha 90.00
_cell_angle_beta 90.00
_cell_angle_gamma 90.00
loop_
_atom_site_label
_atom_site_type_symbol
_atom_site_fract_x
_atom_site_fract_y
_atom_site_fract_z
Li1 Li 0.0000 0.0000 0.0000
V1 V 0.0000 0.0000 0.5000
As1 As 0.2500 0.2500 0.2500
# Magnetic moment   9.900 μB/cell
# Volume   15.90 Å³/atom
# Energy of formation   -0.863 eV per formula unit
# E above lowest polymorph   211 meV per atom
# Total DFT energy (no corrections)   -5.30 eV per atom

# K2LaSc, relaxed, DFT PBE
data_K2LaSc
_chemical_formula_sum 'K4 La2 Sc2'
_symmetry_space_group_name_H-M 'C 1 m 1'
_symmetry_Int_Tables_number 8
_symmetry_space_group_name_Hall 'C -2y'
_cell_length_a 11.2487
_cell_length_b 3.5294
_cell_length_c 9.3840
_cell_angle_alpha 90.00
_cell_angle_beta 93.19
_cell_angle_gamma 90.00
loop_
_atom_site_label
_atom_site_type_symbol
_atom_site_fract_x
_atom_site_fract_y
_atom_site_fract_z
K1 K 0.0000 0.0000 0.0000
K2 K 0.2410 0.0000 0.6801
La1 La 0.4843 0.0000 0.4017
Sc1 Sc 0.2555 0.5000 0.2757
# Magnetic moment   2.301 μB/cell
# Volume   46.50 Å³/atom
# Energy of formation   2.078 eV per formula unit
# E above lowest polymorph   215 meV per atom
# Total DFT energy (no corrections)   -2.84 eV per atom

# Sr2Si2Ag, relaxed, DFT PBE
data_Sr2Si2Ag
_chemical_formula_sum 'Sr8 Si8 Ag4'
_symmetry_space_group_name_H-M 'C 1 2/m 1'
_symmetry_Int_Tables_number 12
_symmetry_space_group_name_Hall '-C 2y'
_cell_length_a 11.5317
_cell_length_b 4.5608
_cell_length_c 11.3048
_cell_angle_alpha 90.00
_cell_angle_beta 117.66
_cell_angle_gamma 90.00
loop_
_atom_site_label
_atom_site_type_symbol
_atom_site_fract_x
_atom_site_fract_y
_atom_site_fract_z
Sr1 Sr 0.0996 0.0000 0.4003
Sr2 Sr 0.2130 0.5000 0.1565
Si1 Si 0.0419 0.0000 0.9239
Si2 Si 0.1044 0.5000 0.6031
Ag1 Ag 0.0678 0.5000 0.8219
# Uncorrected formation energy   -396 meV per atom
# Magnetic moment   0.000 μB/cell
# Volume   26.33 Å³/atom
# E above lowest polymorph   0 meV per atom
# Total DFT energy (no corrections)   -3.81 eV per atom

# Na5LiCl6, relaxed, DFT PBE
data_Na5LiCl6
_chemical_formula_sum 'Na10 Li2 Cl12'
_symmetry_space_group_name_H-M 'C 1 2/m 1'
_symmetry_Int_Tables_number 12
_symmetry_space_group_name_Hall '-C 2y'
_cell_length_a 6.8653
_cell_length_b 11.9092
_cell_length_c 6.8593
_cell_angle_alpha 90.00
_cell_angle_beta 109.45
_cell_angle_gamma 90.00
loop_
_atom_site_label
_atom_site_type_symbol
_atom_site_fract_x
_atom_site_fract_y
_atom_site_fract_z
Na1 Na 0.0000 0.0000 0.0000
Na2 Na 0.0000 0.1665 0.5000
Na3 Na 0.0000 0.3324 0.0000
Li1 Li 0.0000 0.5000 0.5000
Cl1 Cl 0.2388 0.5000 0.2608
Cl2 Cl 0.2425 0.3392 0.7442
# Uncorrected formation energy   -1795 meV per atom
# Magnetic moment   0.000 μB/cell
# Volume   22.03 Å³/atom
# Total DFT energy (no corrections)   -3.43 eV per atom

# Rb3RuBr, relaxed, DFT PBE
data_Rb3RuBr
_chemical_formula_sum 'Rb3 Ru1 Br1'
_symmetry_space_group_name_H-M 'P m -3 m'
_symmetry_Int_Tables_number 221
_symmetry_space_group_name_Hall '-P 4 2 3'
_cell_length_a 6.3811
_cell_length_b 6.3811
_cell_length_c 6.3811
_cell_angle_alpha 90.00
_cell_angle_beta 90.00
_cell_angle_gamma 90.00
loop_
_atom_site_label
_atom_site_type_symbol
_atom_site_fract_x
_atom_site_fract_y
_atom_site_fract_z
Rb1 Rb 0.0000 0.0000 0.5000
Ru1 Ru 0.0000 0.0000 0.0000
Br1 Br 0.5000 0.5000 0.5000
# Uncorrected formation energy   290 meV per atom
# Magnetic moment   2.000 μB/cell
# Volume   51.97 Å³/atom
# E above lowest polymorph   0 meV per atom
# Total DFT energy (no corrections)   -2.48 eV per atom

# Co2BAs, relaxed, DFT PBE
data_Co2BAs
_chemical_formula_sum 'Co8 B4 As4'
_symmetry_space_group_name_H-M 'F m -3 m'
_symmetry_Int_Tables_number 225
_symmetry_space_group_name_Hall '-F 4 2 3'
_cell_length_a 5.5017
_cell_length_b 5.5017
_cell_length_c 5.5017
_cell_angle_alpha 90.00
_cell_angle_beta 90.00
_cell_angle_gamma 90.00
loop_
_atom_site_label
_atom_site_type_symbol
_atom_site_fract_x
_atom_site_fract_y
_atom_site_fract_z
Co1 Co 0.2500 0.2500 0.2500
B1 B 0.0000 0.0000 0.0000
As1 As 0.0000 0.0000 0.5000
# Magnetic moment   6.157 μB/cell
# Volume   10.41 Å³/atom
# Energy of formation   1.211 eV per formula unit
# E above lowest polymorph   21 meV per atom
# Total DFT energy (no corrections)   -6.08 eV per atom

# ThPaGe, relaxed, DFT PBE
data_ThPaGe
_chemical_formula_sum 'Th1 Pa1 Ge1'
_symmetry_space_group_name_H-M 'P 3 m 1'
_symmetry_Int_Tables_number 156
_symmetry_space_group_name_Hall 'P 3 -2"'
_cell_length_a 5.1319
_cell_length_b 5.1319
_cell_length_c 3.3026
_cell_angle_alpha 90.00
_cell_angle_beta 90.00
_cell_angle_gamma 120.00
loop_
_atom_site_label
_atom_site_type_symbol
_atom_site_fract_x
_atom_site_fract_y
_atom_site_fract_z
Th1 Th 0.0000 0.0000 0.0000
Pa1 Pa 0.3333 0.6667 0.5403
Ge1 Ge 0.6667 0.3333 0.3091
# Magnetic moment   1.325 μB/cell
# Volume   25.11 Å³/atom
# Energy of formation   0.037 eV per formula unit
# E above lowest polymorph   548 meV per atom
# Total DFT energy (no corrections)   -7.17 eV per atom

# Cr2CoBr, relaxed, DFT PBE
data_Cr2CoBr
_chemical_formula_sum 'Cr4 Co2 Br2'
_symmetry_space_group_name_H-M 'I m m m'
_symmetry_Int_Tables_number 71
_symmetry_space_group_name_Hall '-I 2 2'
_cell_length_a 2.9210
_cell_length_b 4.0604
_cell_length_c 8.7126
_cell_angle_alpha 90.00
_cell_angle_beta 90.00
_cell_angle_gamma 90.00
loop_
_atom_site_label
_atom_site_type_symbol
_atom_site_fract_x
_atom_site_fract_y
_atom_site_fract_z
Cr1 Cr 0.0000 0.0000 0.2358
Co1 Co 0.0000 0.5000 0.0000
Br1 Br 0.0000 0.5000 0.5000
# Uncorrected formation energy   872 meV per atom
# Magnetic moment   1.099 μB/cell
# Volume   12.92 Å³/atom
# E above lowest polymorph   421 meV per atom
# Total DFT energy (no corrections)   -6.13 eV per atom

# BaSi2Sb2, relaxed, DFT PBE
data_BaSi2Sb2
_chemical_formula_sum 'Ba2 Si4 Sb4'
_symmetry_space_group_name_H-M 'I 4/m m m'
_symmetry_Int_Tables_number 139
_symmetry_space_group_name_Hall '-I 4 2'
_cell_length_a 5.4503
_cell_length_b 5.4503
_cell_length_c 9.3006
_cell_angle_alpha 90.00
_cell_angle_beta 90.00
_cell_angle_gamma 90.00
loop_
_atom_site_label
_atom_site_type_symbol
_atom_site_fract_x
_atom_site_fract_y
_atom_site_fract_z
Ba1 Ba 0.0000 0.0000 0.0000
Si1 Si 0.0000 0.0000 0.3608
Sb1 Sb 0.0000 0.5000 0.2500
# Uncorrected formation energy   -121 meV per atom
# Magnetic moment   0.000 μB/cell
# Volume   27.63 Å³/atom
# Total DFT energy (no corrections)   -4.32 eV per atom

# Na3Tm3TeO8, relaxed, DFT PBE
data_Na3Tm3TeO8
_chemical_formula_sum 'Na9 Tm9 Te3 O24'
_symmetry_space_group_name_H-M 'R -3 m'
_symmetry_Int_Tables_number 166
_symmetry_space_group_name_Hall '-R 3 2"'
_cell_length_a 6.7474
_cell_length_b 6.7474
_cell_length_c 16.7934
_cell_angle_alpha 90.00
_cell_angle_beta 90.00
_cell_angle_gamma 120.00
loop_
_atom_site_label
_atom_site_type_symbol
_atom_site_fract_x
_atom_site_fract_y
_atom_site_fract_z
Na1 Na 0.0000 0.5000 0.0000
Tm1 Tm 0.0000 0.5000 0.5000
Te1 Te 0.0000 0.0000 0.5000
O1 O 0.0000 0.0000 0.2346
O2 O 0.0085 0.5043 0.2338
# Uncorrected formation energy   -2473 meV per atom
# Magnetic moment   0.000 μB/cell
# Volume   14.71 Å³/atom
# Total DFT energy (no corrections)   -6.48 eV per atom

# Mg2BeCr, relaxed, DFT PBE
data_Mg2BeCr
_chemical_formula_sum 'Mg6 Be3 Cr3'
_symmetry_space_group_name_H-M 'R 3 m'
_symmetry_Int_Tables_number 160
_symmetry_space_group_name_Hall 'R 3 -2"'
_cell_length_a 2.8005
_cell_length_b 2.8005
_cell_length_c 27.0557
_cell_angle_alpha 90.00
_cell_angle_beta 90.00
_cell_angle_gamma 120.00
loop_
_atom_site_label
_atom_site_type_symbol
_atom_site_fract_x
_atom_site_fract_y
_atom_site_fract_z
Mg1 Mg 0.0000 0.0000 0.0000
Mg2 Mg 0.0000 0.0000 0.2313
Be1 Be 0.0000 0.0000 0.4827
Cr1 Cr 0.0000 0.0000 0.7503
# Magnetic moment   0.001 μB/cell
# Volume   15.31 Å³/atom
# Energy of formation   2.053 eV per formula unit
# Total DFT energy (no corrections)   -3.62 eV per atom

# Na3ErBi2O6, relaxed, DFT PBE
data_Na3ErBi2O6
_chemical_formula_sum 'Na6 Er2 Bi4 O12'
_symmetry_space_group_name_H-M 'C 1 2/m 1'
_symmetry_Int_Tables_number 12
_symmetry_space_group_name_Hall '-C 2y'
_cell_length_a 6.0528
_cell_length_b 10.4908
_cell_length_c 6.0087
_cell_angle_alpha 90.00
_cell_angle_beta 109.65
_cell_angle_gamma 90.00
loop_
_atom_site_label
_atom_site_type_symbol
_atom_site_fract_x
_atom_site_fract_y
_atom_site_fract_z
Na1 Na 0.0000 0.0000 0.0000
Na2 Na 0.0000 0.3349 0.0000
Er1 Er 0.0000 0.5000 0.5000
Bi1 Bi 0.0000 0.1667 0.5000
O1 O 0.2326 0.3420 0.7229
O2 O 0.2434 0.5000 0.2801
# Uncorrected formation energy   -1831 meV per atom
# Magnetic moment   0.000 μB/cell
# Volume   14.97 Å³/atom
# Total DFT energy (no corrections)   -5.67 eV per atom

# ZrIn6Br12, relaxed, DFT PBE
data_ZrIn6Br12
_chemical_formula_sum 'Zr3 In18 Br36'
_symmetry_space_group_name_H-M 'R -3'
_symmetry_Int_Tables_number 148
_symmetry_space_group_name_Hall '-R 3'
_cell_length_a 13.4384
_cell_length_b 13.4384
_cell_length_c 13.0611
_cell_angle_alpha 90.00
_cell_angle_beta 90.00
_cell_angle_gamma 120.00
loop_
_atom_site_label
_atom_site_type_symbol
_atom_site_fract_x
_atom_site_fract_y
_atom_site_fract_z
Zr1 Zr 0.0000 0.0000 0.0000
In1 In 0.0461 0.7814 0.6289
Br1 Br 0.0370 0.8232 0.3883
Br2 Br 0.0523 0.8692 0.8850
# Uncorrected formation energy   -798 meV per atom
# Magnetic moment   0.000 μB/cell
# Volume   35.84 Å³/atom
# Total DFT energy (no corrections)   -3.17 eV per atom

# TaSi5, relaxed, DFT PBE
data_TaSi5
_chemical_formula_sum 'Ta2 Si10'
_symmetry_space_group_name_H-M 'A m m 2'
_symmetry_Int_Tables_number 38
_symmetry_space_group_name_Hall 'A 2 -2'
_cell_length_a 3.3826
_cell_length_b 3.5738
_cell_length_c 15.4819
_cell_angle_alpha 90.00
_cell_angle_beta 90.00
_cell_angle_gamma 90.00
loop_
_atom_site_label
_atom_site_type_symbol
_atom_site_fract_x
_atom_site_fract_y
_atom_site_fract_z
Ta1 Ta 0.0000 0.0000 0.0000
Si1 Si 0.0000 0.0000 0.3677
Si2 Si 0.0000 0.0000 0.7362
Si3 Si 0.5000 0.0000 0.1654
Si4 Si 0.5000 0.0000 0.5572
Si5 Si 0.5000 0.0000 0.8636
# Uncorrected formation energy   164 meV per atom
# Magnetic moment   0.000 μB/cell
# Volume   15.60 Å³/atom
# E above lowest polymorph   56 meV per atom
# Total DFT energy (no corrections)   -6.33 eV per atom

# PuNi4Rh, relaxed, DFT PBE
data_PuNi4Rh
_chemical_formula_sum 'Pu4 Ni16 Rh4'
_symmetry_space_group_name_H-M 'F -4 3 m'
_symmetry_Int_Tables_number 216
_symmetry_space_group_name_Hall 'F -4 2 3'
_cell_length_a 6.8941
_cell_length_b 6.8941
_cell_length_c 6.8941
_cell_angle_alpha 90.00
_cell_angle_beta 90.00
_cell_angle_gamma 90.00
loop_
_atom_site_label
_atom_site_type_symbol
_atom_site_fract_x
_atom_site_fract_y
_atom_site_fract_z
Pu1 Pu 0.0000 0.0000 0.0000
Ni1 Ni 0.1245 0.1245 0.3755
Rh1 Rh 0.2500 0.2500 0.7500
# Magnetic moment   9.224 μB/cell
# Volume   13.65 Å³/atom
# Energy of formation   -1.027 eV per formula unit
# Total DFT energy (no corrections)   -7.64 eV per atom

# LaNdSc, relaxed, DFT PBE
data_LaNdSc
_chemical_formula_sum 'La4 Nd4 Sc4'
_symmetry_space_group_name_H-M 'C 1 m 1'
_symmetry_Int_Tables_number 8
_symmetry_space_group_name_Hall 'C -2y'
_cell_length_a 21.2443
_cell_length_b 3.4642
_cell_length_c 5.1542
_cell_angle_alpha 90.00
_cell_angle_beta 90.00
_cell_angle_gamma 90.00
loop_
_atom_site_label
_atom_site_type_symbol
_atom_site_fract_x
_atom_site_fract_y
_atom_site_fract_z
La1 La 0.0000 0.0000 0.0000
La2 La 0.0993 0.0000 0.5001
Nd1 Nd 0.1845 0.5000 0.0001
Nd2 Nd 0.4148 0.0000 0.5000
Sc1 Sc 0.2613 0.0000 0.4995
Sc2 Sc 0.3381 0.5000 0.0013
# Magnetic moment   0.000 μB/cell
# Volume   31.61 Å³/atom
# Energy of formation   0.301 eV per formula unit
# E above lowest polymorph   45 meV per atom
# Total DFT energy (no corrections)   -5.24 eV per atom

# BaH2O3, relaxed, DFT PBE
data_BaH2O3
_chemical_formula_sum 'Ba2 H4 O6'
_symmetry_space_group_name_H-M 'P m m n'
_symmetry_Int_Tables_number 59
_cell_length_a 3.8273
_cell_length_b 8.2097
_cell_length_c 4.9729
_cell_angle_alpha 90.00
_cell_angle_beta 90.00
_cell_angle_gamma 90.00
loop_
_symmetry_equiv_pos_as_xyz
'x,y,z'
'-x,-y,-z'
'-x+1/2,-y+1/2,z'
'x+1/2,y+1/2,-z'
'x+1/2,-y,-z'
'-x+1/2,y,z'
'-x,y+1/2,-z'
'x,-y+1/2,z'
loop_
_atom_site_label
_atom_site_type_symbol
_atom_site_fract_x
_atom_site_fract_y
_atom_site_fract_z
Ba1 Ba 0.2500 0.2500 0.2381
H1 H 0.2500 0.6512 0.2297
O1 O 0.2500 0.5304 0.9929
O2 O 0.2500 0.7500 0.3620
# Magnetic moment   0.651 μB/cell
# Volume   13.02 Å³/atom
# E above lowest polymorph   0 meV per atom
# Total DFT energy (no corrections)   -5.16 eV per atom

# LaPmAgPb, relaxed, DFT PBE
data_LaPmAgPb
_chemical_formula_sum 'La4 Pm4 Ag4 Pb4'
_symmetry_space_group_name_H-M 'F -4 3 m'
_symmetry_Int_Tables_number 216
_symmetry_space_group_name_Hall 'F -4 2 3'
_cell_length_a 7.7564
_cell_length_b 7.7564
_cell_length_c 7.7564
_cell_angle_alpha 90.00
_cell_angle_beta 90.00
_cell_angle_gamma 90.00
loop_
_atom_site_label
_atom_site_type_symbol
_atom_site_fract_x
_atom_site_fract_y
_atom_site_fract_z
La1 La 0.0000 0.0000 0.0000
Pm1 Pm 0.0000 0.0000 0.5000
Ag1 Ag 0.2500 0.2500 0.7500
Pb1 Pb 0.2500 0.2500 0.2500
# Magnetic moment   2.834 μB/cell
# Volume   29.17 Å³/atom
# Energy of formation   -1.739 eV per formula unit
# Total DFT energy (no corrections)   -4.49 eV per atom